This record from the Alexandria database describes crystalline Pm2Nd3Sn4 at its relaxed geometry. The functional is PBE-GGA.

The space group is P2_1/c (No. 14) and the conventional cell measures 8.6090, 8.5122 and 8.2352 Å, with angles of 90.00, 111.95 and 90.00 degrees. The inequivalent atoms are Pm at (0.1986, 0.1810, 0.0603), Nd at (0.2401, 0.6671, 0.2274), Nd at (0.5000, 0.0000, 0.5000), Sn at (0.0841, 0.5325, 0.8238) and Sn at (0.4870, 0.1332, 0.8688).

For the offset from the most stable computed form, the calculation gives 0 meV per atom. Its calculated total energy is -93.1 eV/cell. The value obtained for the formation energy is -72 kJ/mol of atoms.